VASP calculation (GGA+U) on crystalline Tm2Co2O7 at its relaxed geometry.

Output
* DFT total energy: -152.379 eV/cell
* V: 117.2 Å³/f.u.
* symmetry: Fd-3m (227)
* total magnetization: 0.182 μB per atom

Unit cell a=6.922 b=6.922 c=6.922 alpha=60.00 beta=60.00 gamma=60.00
Fractional positions:
Tm1 0.000 0.000 0.000
Tm2 0.000 0.000 0.500
Tm3 0.000 0.500 0.000
Tm4 0.500 0.000 0.000
Co1 0.000 0.500 0.500
Co2 0.500 0.000 0.500
Co3 0.500 0.500 0.000
Co4 0.500 0.500 0.500
O1 0.125 0.125 0.125
O2 0.170 0.170 0.580
O3 0.170 0.580 0.170
O4 0.170 0.580 0.580
O5 0.420 0.420 0.830
O6 0.420 0.830 0.420
O7 0.420 0.830 0.830
O8 0.580 0.170 0.170
O9 0.580 0.170 0.580
O10 0.580 0.580 0.170
O11 0.830 0.420 0.420
O12 0.830 0.420 0.830
O13 0.830 0.830 0.420
O14 0.875 0.875 0.875